The following is a GGA-PBE calculation of crystalline Ba2MnTc at its relaxed geometry, from Alexandria via LeMat-Bulk.

The structure in extended XYZ format:
```
4
Lattice="1.835 1.059 10.247 -1.835 1.059 10.247 0.000 -2.119 10.247" Properties=species:S:1:pos:R:3 pbc="T T T"
Ba 0.000 0.000 7.404
Ba 0.000 0.000 23.337
Mn 0.000 0.000 0.000
Tc 0.000 0.000 15.371
```

As for the total energy: -0.34116 Ry per atom. The value obtained for the energy above the lowest structure with this stoichiometry is 800 meV/atom. As for the density of states at the Fermi level: 4.074 states/eV per cell. The formation enthalpy at 0 K is 27.75 kcal/mol of atoms. As for the crystal system: trigonal.

---

The following is a GGA-PBE calculation of crystalline SiTc2RhAu at its relaxed geometry, from Alexandria via LeMat-Bulk.

The structure in extended XYZ format:
```
5
Lattice="4.879 0.000 0.000 0.000 4.879 0.000 0.000 0.000 4.889" Properties=species:S:1:pos:R:3 pbc="T T T"
Si 0.000 0.000 0.000
Tc 0.000 2.440 2.444
Tc 2.440 0.000 2.444
Rh 2.440 2.440 0.000
Au 2.440 2.440 2.444
```

The value obtained for the uncorrected formation energy is 2.159 eV per atom. As for the total energy: -0.38201 Ry per atom. As for the density of states at the Fermi level: 5.349 states/eV per cell. As for the crystal system: tetragonal.